Ba3BSb after structural relaxation, computed with PBE-GGA.

Structure (extended XYZ):
```
5
Lattice="5.7761 0.0000 0.0000 0.0000 5.7761 0.0000 0.0000 0.0000 5.7761" Properties=species:S:1:pos:R:3 pbc="T T T"
Ba 0.0000 0.0000 2.8880
Ba 0.0000 2.8880 0.0000
Ba 2.8880 0.0000 0.0000
B 0.0000 0.0000 0.0000
Sb 2.8880 2.8880 2.8880
```

Computed properties:
Distance to the lowest polymorph of the same formula = 0.0 meV per atom
Space-group type = Pm-3m (221)
Total magnetization = 0.00 μB per formula unit
Formation energy (no corrections) = -100 meV per atom